No. 1
# SrHoMgHg PBE relaxed
data_SrHoMgHg
_chemical_formula_sum 'Sr4 Ho4 Mg4 Hg4'
_symmetry_space_group_name_H-M 'F -4 3 m'
_symmetry_Int_Tables_number 216
_symmetry_space_group_name_Hall 'F -4 2 3'
_cell_length_a 7.773
_cell_length_b 7.773
_cell_length_c 7.773
_cell_angle_alpha 90.00
_cell_angle_beta 90.00
_cell_angle_gamma 90.00
loop_
_atom_site_label
_atom_site_fract_x
_atom_site_fract_y
_atom_site_fract_z
_atom_site_occupancy
Sr1 0.000 0.000 0.000 1
Ho1 0.000 0.000 0.500 1
Mg1 0.250 0.250 0.750 1
Hg1 0.250 0.250 0.250 1
# V (Å³ per cell): 470
# Spin magnetization (μB/f.u.): 0.0
# N(E_F) (states/eV/cell): 18.29
# Crystal system: cubic
# DFT formation energy (meV/atom): -201

No. 2
# CdSnBi PBE relaxed
data_CdSnBi
_chemical_formula_sum 'Cd1 Sn1 Bi1'
_symmetry_space_group_name_H-M 'P 3 m 1'
_symmetry_Int_Tables_number 156
_cell_length_a 5.4161
_cell_length_b 5.4161
_cell_length_c 3.3556
_cell_angle_alpha 90.00
_cell_angle_beta 90.00
_cell_angle_gamma 120.00
loop_
_symmetry_equiv_pos_as_xyz
'x,y,z'
'-y,x-y,z'
'-x+y,-x,z'
'-y,-x,z'
'-x+y,y,z'
'x,x-y,z'
loop_
_atom_site_label
_atom_site_fract_x
_atom_site_fract_y
_atom_site_fract_z
_atom_site_occupancy
Cd1 0.0000 0.0000 0.0000 1
Sn1 0.6667 0.3333 0.6405 1
Bi1 0.3333 0.6667 0.3389 1
# V (Å³ per cell): 85
# Spin magnetization (μB/f.u.): 0.0
# N(E_F) (states/eV/cell): 1.37
# Crystal system: trigonal
# DFT formation energy (meV/atom): 95

No. 3
# Pm6SiOs2Br3 PBE relaxed
data_Pm6SiOs2Br3
_chemical_formula_sum 'Pm12 Si2 Os4 Br6'
_symmetry_space_group_name_H-M 'C 1 2/m 1'
_symmetry_Int_Tables_number 12
_cell_length_a 7.225
_cell_length_b 12.528
_cell_length_c 8.024
_cell_angle_alpha 90.00
_cell_angle_beta 107.60
_cell_angle_gamma 90.00
loop_
_symmetry_equiv_pos_as_xyz
'x,y,z'
'-x,-y,-z'
'-x,y,-z'
'x,-y,z'
'x+1/2,y+1/2,z'
'-x+1/2,-y+1/2,-z'
'-x+1/2,y+1/2,-z'
'x+1/2,-y+1/2,z'
loop_
_atom_site_label
_atom_site_fract_x
_atom_site_fract_y
_atom_site_fract_z
_atom_site_occupancy
Pm1 0.217 0.000 0.199 1
Pm2 0.240 0.325 0.199 1
Si1 0.000 0.500 0.000 1
Os1 0.000 0.167 0.000 1
Br1 0.000 0.000 0.500 1
Br2 0.000 0.336 0.500 1
# V (Å³ per cell): 692
# Spin magnetization (μB/f.u.): 0.0
# N(E_F) (states/eV/cell): 15.36
# Crystal system: monoclinic
# ΔE_f (raw) (eV per atom): -0.80

No. 4
# Ta2BeNi PBE relaxed
data_Ta2BeNi
_chemical_formula_sum 'Ta2 Be1 Ni1'
_symmetry_space_group_name_H-M 'P 1 2/m 1'
_symmetry_Int_Tables_number 10
_cell_length_a 2.798
_cell_length_b 3.618
_cell_length_c 5.555
_cell_angle_alpha 90.00
_cell_angle_beta 90.06
_cell_angle_gamma 90.00
loop_
_symmetry_equiv_pos_as_xyz
'x,y,z'
'-x,-y,-z'
'-x,y,-z'
'x,-y,z'
loop_
_atom_site_label
_atom_site_fract_x
_atom_site_fract_y
_atom_site_fract_z
_atom_site_occupancy
Ta1 0.003 0.000 0.253 1
Be1 0.500 0.500 0.500 1
Ni1 0.500 0.500 0.000 1
# V (Å³ per cell): 56
# Spin magnetization (μB/f.u.): 0.0
# N(E_F) (states/eV/cell): 3.25
# Crystal system: monoclinic
# DFT formation energy (meV/atom): -54

No. 5
# NaGd2Sb PBE relaxed
data_NaGd2Sb
_chemical_formula_sum 'Na1 Gd2 Sb1'
_symmetry_space_group_name_H-M 'P 4/m m m'
_symmetry_Int_Tables_number 123
_symmetry_space_group_name_Hall '-P 4 2'
_cell_length_a 5.026
_cell_length_b 5.026
_cell_length_c 4.408
_cell_angle_alpha 90.00
_cell_angle_beta 90.00
_cell_angle_gamma 90.00
loop_
_atom_site_label
_atom_site_fract_x
_atom_site_fract_y
_atom_site_fract_z
_atom_site_occupancy
Na1 0.000 0.000 0.000 1
Gd1 0.000 0.500 0.500 1
Sb1 0.500 0.500 0.000 1
# V (Å³ per cell): 111
# Spin magnetization (μB/f.u.): 15.0
# N(E_F) (states/eV/cell): 5.32
# Crystal system: tetragonal
# ΔE_f (raw) (eV per atom): -0.43

No. 6
# TaNi9As2 PBE relaxed
data_TaNi9As2
_chemical_formula_sum 'Ta1 Ni9 As2'
_symmetry_space_group_name_H-M 'P 4/m m m'
_symmetry_Int_Tables_number 123
_symmetry_space_group_name_Hall '-P 4 2'
_cell_length_a 3.625
_cell_length_b 3.625
_cell_length_c 10.876
_cell_angle_alpha 90.00
_cell_angle_beta 90.00
_cell_angle_gamma 90.00
loop_
_atom_site_label
_atom_site_fract_x
_atom_site_fract_y
_atom_site_fract_z
_atom_site_occupancy
Ta1 0.000 0.000 0.000 1
Ni1 0.000 0.500 0.168 1
Ni2 0.000 0.500 0.500 1
Ni3 0.500 0.500 0.000 1
Ni4 0.500 0.500 0.335 1
As1 0.000 0.000 0.340 1
# V (Å³ per cell): 143
# Spin magnetization (μB/f.u.): 0.0
# N(E_F) (states/eV/cell): 9.75
# Crystal system: tetragonal
# DFT formation energy (meV/atom): -214

No. 7
# PrNdEuAg PBE relaxed
data_PrNdEuAg
_chemical_formula_sum 'Pr4 Nd4 Eu4 Ag4'
_symmetry_space_group_name_H-M 'F -4 3 m'
_symmetry_Int_Tables_number 216
_symmetry_space_group_name_Hall 'F -4 2 3'
_cell_length_a 7.865
_cell_length_b 7.865
_cell_length_c 7.865
_cell_angle_alpha 90.00
_cell_angle_beta 90.00
_cell_angle_gamma 90.00
loop_
_atom_site_label
_atom_site_fract_x
_atom_site_fract_y
_atom_site_fract_z
_atom_site_occupancy
Pr1 0.000 0.000 0.000 1
Nd1 0.000 0.000 0.500 1
Eu1 0.250 0.250 0.750 1
Ag1 0.250 0.250 0.250 1
# V (Å³ per cell): 487
# Spin magnetization (μB/f.u.): 7.6
# N(E_F) (states/eV/cell): 21.60
# Crystal system: cubic
# DFT formation energy (meV/atom): 80

No. 8
# V4Mo2C PBE relaxed
data_V4Mo2C
_chemical_formula_sum 'V8 Mo4 C2'
_symmetry_space_group_name_H-M 'I 4/m m m'
_symmetry_Int_Tables_number 139
_symmetry_space_group_name_Hall '-I 4 2'
_cell_length_a 3.782
_cell_length_b 3.782
_cell_length_c 13.975
_cell_angle_alpha 90.00
_cell_angle_beta 90.00
_cell_angle_gamma 90.00
loop_
_atom_site_label
_atom_site_fract_x
_atom_site_fract_y
_atom_site_fract_z
_atom_site_occupancy
V1 0.000 0.000 0.144 1
V2 0.000 0.500 0.000 1
Mo1 0.000 0.000 0.326 1
C1 0.000 0.000 0.000 1
# V (Å³ per cell): 200
# Spin magnetization (μB/f.u.): 0.0
# N(E_F) (states/eV/cell): 12.19
# Crystal system: tetragonal
# DFT formation energy (meV/atom): 287

No. 9
# Pm2PrRu PBE relaxed
data_Pm2PrRu
_chemical_formula_sum 'Pm2 Pr1 Ru1'
_symmetry_space_group_name_H-M 'P 4/m m m'
_symmetry_Int_Tables_number 123
_symmetry_space_group_name_Hall '-P 4 2'
_cell_length_a 3.522
_cell_length_b 3.522
_cell_length_c 9.363
_cell_angle_alpha 90.00
_cell_angle_beta 90.00
_cell_angle_gamma 90.00
loop_
_atom_site_label
_atom_site_fract_x
_atom_site_fract_y
_atom_site_fract_z
_atom_site_occupancy
Pm1 0.000 0.000 0.180 1
Pr1 0.500 0.500 0.500 1
Ru1 0.500 0.500 0.000 1
# V (Å³ per cell): 116
# Spin magnetization (μB/f.u.): 0.0
# N(E_F) (states/eV/cell): 3.67
# Crystal system: tetragonal
# E above lowest polymorph (eV per atom): 0.1055
# DFT formation energy (meV/atom): -94

No. 10
# Rb2TcPbBr6 PBE relaxed
data_Rb2TcPbBr6
_chemical_formula_sum 'Rb8 Tc4 Pb4 Br24'
_symmetry_space_group_name_H-M 'F m -3 m'
_symmetry_Int_Tables_number 225
_symmetry_space_group_name_Hall '-F 4 2 3'
_cell_length_a 11.514
_cell_length_b 11.514
_cell_length_c 11.514
_cell_angle_alpha 90.00
_cell_angle_beta 90.00
_cell_angle_gamma 90.00
loop_
_atom_site_label
_atom_site_fract_x
_atom_site_fract_y
_atom_site_fract_z
_atom_site_occupancy
Rb1 0.250 0.250 0.250 1
Tc1 0.000 0.000 0.000 1
Pb1 0.000 0.000 0.500 1
Br1 0.000 0.000 0.239 1
# V (Å³ per cell): 1526
# Spin magnetization (μB/f.u.): 5.0
# N(E_F) (states/eV/cell): 0.24
# Crystal system: cubic
# ΔE_f (raw) (eV per atom): -0.91

No. 11
# CsBa2SrSn PBE relaxed
data_CsBa2SrSn
_chemical_formula_sum 'Cs1 Ba2 Sr1 Sn1'
_symmetry_space_group_name_H-M 'P 4/m m m'
_symmetry_Int_Tables_number 123
_symmetry_space_group_name_Hall '-P 4 2'
_cell_length_a 6.346
_cell_length_b 6.346
_cell_length_c 6.250
_cell_angle_alpha 90.00
_cell_angle_beta 90.00
_cell_angle_gamma 90.00
loop_
_atom_site_label
_atom_site_fract_x
_atom_site_fract_y
_atom_site_fract_z
_atom_site_occupancy
Cs1 0.000 0.000 0.000 1
Ba1 0.000 0.500 0.000 1
Sr1 0.000 0.000 0.500 1
Sn1 0.500 0.500 0.500 1
# V (Å³ per cell): 252
# Spin magnetization (μB/f.u.): 0.0
# N(E_F) (states/eV/cell): 6.00
# Crystal system: tetragonal
# DFT formation energy (meV/atom): 705

No. 12
# AcErIn PBE relaxed
data_AcErIn
_chemical_formula_sum 'Ac2 Er2 In2'
_symmetry_space_group_name_H-M 'P 4/n m m'
_symmetry_Int_Tables_number 129
_cell_length_a 4.954
_cell_length_b 4.954
_cell_length_c 8.410
_cell_angle_alpha 90.00
_cell_angle_beta 90.00
_cell_angle_gamma 90.00
loop_
_symmetry_equiv_pos_as_xyz
'x,y,z'
'-x,-y,-z'
'-y+1/2,x,z'
'y+1/2,-x,-z'
'-x+1/2,-y+1/2,z'
'x+1/2,y+1/2,-z'
'y,-x+1/2,z'
'-y,x+1/2,-z'
'x+1/2,-y,-z'
'-x+1/2,y,z'
'-y,-x,-z'
'y,x,z'
'-x,y+1/2,-z'
'x,-y+1/2,z'
'y+1/2,x+1/2,-z'
'-y+1/2,-x+1/2,z'
loop_
_atom_site_label
_atom_site_fract_x
_atom_site_fract_y
_atom_site_fract_z
_atom_site_occupancy
Ac1 0.250 0.250 0.150 1
Er1 0.250 0.750 0.500 1
In1 0.250 0.250 0.740 1
# V (Å³ per cell): 206
# Spin magnetization (μB/f.u.): 0.9
# N(E_F) (states/eV/cell): 6.23
# Crystal system: tetragonal
# E above lowest polymorph (eV per atom): 0.0000
# DFT formation energy (meV/atom): -310

> Look up the V of the second one.

85 Å³ per cell

> The highest V belongs to which entry?

Rb2TcPbBr6